Below is an optimized crystal structure of SeICl3, with properties calculated at the PBE level.

Lattice parameters (Å, degrees): 5.144 5.144 5.144 90.00 90.00 90.00
Space group Pm-3m (No. 221)
Asymmetric unit:
Se1 0.000 0.000 0.000 (multiplicity 1)
I1 0.500 0.500 0.500 (multiplicity 1)
Cl1 0.000 0.000 0.500 (multiplicity 3)

Magnetic moment: 0.27 μB per atom
DOS at the Fermi energy: 5.165 states/eV/f.u.
Distance to the lowest polymorph of the same formula: 1.92 eV/f.u.
Energy relative to the elements, uncorrected: 0.157 eV/atom